20
Lattice="5.487 0.000 0.032 0.000 5.676 0.000 0.096 0.000 7.900" Properties=species:S:1:pos:R:3 comment="Na2LiScF6 | the Alexandria database | PBE-GGA | relaxed" relative_energy_mev_per_atom=0 spacegroup="No. 14" pbc="T T T"
Na 0.125 5.362 2.002
Na 2.917 3.152 5.968
Na 5.458 0.314 5.930
Na 2.666 2.524 1.964
Li 2.744 0.000 0.016
Li 0.048 2.838 3.950
Sc 2.791 0.000 3.966
Sc 0.000 2.838 0.000
F 1.633 3.971 0.430
F 4.425 4.542 4.396
F 3.950 1.705 7.502
F 1.158 1.133 3.536
F 1.714 4.016 3.487
F 4.506 4.498 7.453
F 3.869 1.660 4.445
F 1.077 1.178 0.479
F 4.911 3.069 1.968
F 2.215 5.445 5.902
F 0.672 2.607 5.964
F 3.368 0.231 2.030

12
Lattice="6.046 0.000 0.000 3.023 6.314 0.235 3.023 2.670 5.718" Properties=species:S:1:pos:R:3 comment="Tc2AgAuO8 | the Alexandria database | PBE-GGA | relaxed" total_energy_ev_per_cell=-77.807 spacegroup="No. 12" pbc="T T T"
Tc 3.023 1.881 0.984
Tc 9.068 7.103 4.969
Ag 6.046 4.492 2.977
Au 0.000 0.000 0.000
O 9.068 5.711 3.956
O 6.046 3.898 0.938
O 3.023 3.273 1.997
O 6.046 5.086 5.015
O 4.449 0.886 1.280
O 7.642 8.098 4.674
O 1.596 0.886 1.280
O 10.495 8.098 4.674

3
Lattice="-0.479 0.193 -3.086 2.032 -2.334 -0.461 -5.371 -3.020 2.231" Properties=species:S:1:pos:R:3 comment="SmPuN | the Alexandria database | PBE-GGA | relaxed" relative_energy_mev_per_atom=510 spacegroup="No. 107" pbc="T T T"
Pu -3.336 -4.732 -1.365
Sm -1.212 -2.841 -1.576
N -3.088 -2.749 0.307

10
Lattice="-2.727 -5.567 -4.134 4.345 -4.833 3.644 -2.063 -0.411 1.915" Properties=species:S:1:pos:R:3 comment="NbGa2Pd2 | the Alexandria database | PBE-GGA | relaxed" relative_energy_mev_per_atom=0 formation_enthalpy_0k_ev_per_atom=-0.3946 spacegroup="No. 127" pbc="T T T"
Nb 0.000 0.000 0.000
Nb 0.809 -5.200 -0.245
Ga 2.746 -6.105 1.648
Ga 0.474 -7.877 -1.181
Ga -1.128 -4.295 -2.138
Ga 1.145 -2.523 0.691
Pd 1.388 -4.215 2.704
Pd 0.867 -7.935 1.344
Pd -1.834 -6.597 -1.279
Pd -1.312 -2.877 0.081

4
Lattice="4.559 0.000 0.000 2.279 3.948 0.000 2.279 1.316 3.722" Properties=species:S:1:pos:R:3 comment="TbAlRuRh | the Alexandria database | PBE-GGA | relaxed" formation_enthalpy_0k_ev_per_atom=-0.6267 spacegroup="No. 216" pbc="T T T"
Rh 2.279 1.316 0.931
Tb 4.559 2.632 1.861
Al 0.000 0.000 0.000
Ru 6.838 3.948 2.792

4
Lattice="4.772 0.000 0.000 0.000 3.878 0.000 0.000 0.000 3.878" Properties=species:S:1:pos:R:3 comment="CaMgRe2 | the Alexandria database | PBE-GGA | relaxed" formation_enthalpy_0k_ev_per_atom=0.6580 spacegroup="No. 123" pbc="T T T"
Ca 2.386 1.939 0.000
Mg 2.386 0.000 1.939
Re 0.000 0.000 0.000
Re 0.000 1.939 1.939

18
Lattice="-0.583 3.529 -5.071 -6.093 -1.168 -0.112 -2.083 10.167 7.314" Properties=species:S:1:pos:R:3 comment="Te6Pt2Rh | the Alexandria database | PBE-GGA | relaxed" relative_energy_mev_per_atom=263 spacegroup="No. 136" pbc="T T T"
Te -4.958 3.295 -2.388
Te -6.359 10.137 2.534
Te -5.678 6.723 0.058
Te -1.655 2.615 -4.107
Te -2.339 6.050 -1.660
Te -3.021 9.375 0.732
Te -5.739 3.153 1.399
Te -6.420 6.478 3.791
Te -5.022 -0.254 -1.076
Te -3.081 5.805 2.074
Te -2.400 2.391 -0.403
Te -3.802 9.233 4.519
Pt -4.030 4.555 -0.164
Pt -4.730 7.973 2.295
Pt -0.350 1.709 1.229
Pt -1.733 8.459 6.085
Rh -3.338 1.180 -2.592
Rh -1.041 5.084 3.657

12
Lattice="-3.782 4.522 -3.924 -2.038 -4.704 -4.721 -3.206 -1.424 8.472" Properties=species:S:1:pos:R:3 comment="InSnCl4 | the Alexandria database | PBE-GGA | relaxed" total_energy_ev_per_cell=-38.959 spacegroup="No. 15" pbc="T T T"
In -2.884 -1.449 -2.718
In -6.142 -0.157 2.545
Sn -4.163 -4.495 1.395
Sn -4.863 2.889 -1.567
Cl -0.874 -1.530 -0.854
Cl -3.941 -1.132 -5.228
Cl -3.718 -1.678 1.731
Cl -5.308 0.073 -1.904
Cl -3.876 -3.817 -1.213
Cl -5.086 -0.474 5.055
Cl -5.150 2.211 1.041
Cl -8.152 -0.075 0.682

4
Lattice="-1.197 -7.593 0.135 1.758 -7.310 -1.603 1.773 -7.252 1.836" Properties=species:S:1:pos:R:3 comment="NiPtSe2 | the Alexandria database | PBE-GGA | relaxed" total_energy_ev_per_cell=-19.036 spacegroup="No. 166" pbc="T T T"
Ni 1.167 -11.077 0.184
Se 2.083 -19.777 0.328
Se 0.250 -2.378 0.039
Pt 0.000 0.000 0.000

5
Lattice="-2.399 -2.679 4.276 0.371 -4.068 -2.341 5.027 -0.856 2.284" Properties=species:S:1:pos:R:3 comment="CsSiSn2Pt | the Alexandria database | PBE-GGA | relaxed" total_energy_ev_per_cell=-19.432 spacegroup="No. 123" pbc="T T T"
Cs 1.499 -3.802 2.110
Si 0.000 0.000 0.000
Sn 2.513 -0.428 1.142
Sn -1.200 -1.340 2.138
Pt 0.186 -2.034 -1.170

4
Lattice="3.089 0.000 0.000 1.544 2.675 0.000 1.544 0.892 9.290" Properties=species:S:1:pos:R:3 comment="Ti2NbSn | the Alexandria database | PBE-GGA | relaxed" formation_enthalpy_0k_ev_per_atom=0.0363 spacegroup="No. 160" pbc="T T T"
Ti 1.544 0.892 6.877
Ti 1.544 0.892 2.415
Nb 3.089 1.783 4.644
Sn 4.633 2.675 9.289

5
Lattice="4.058 0.000 0.000 0.000 4.058 0.000 0.000 0.000 4.058" Properties=species:S:1:pos:R:3 comment="MnRe3C | the Alexandria database | PBE-GGA | relaxed" relative_energy_mev_per_atom=0 formation_enthalpy_0k_ev_per_atom=0.3129 spacegroup="No. 221" pbc="T T T"
Re 0.000 2.029 0.000
Re 0.000 0.000 2.029
Re 2.029 0.000 0.000
C 0.000 0.000 0.000
Mn 2.029 2.029 2.029

5
Lattice="-4.594 0.736 2.969 0.682 -4.401 2.147 5.660 4.839 2.427" Properties=species:S:1:pos:R:3 comment="CsKCd2Au | the Alexandria database | PBE-GGA | relaxed" relative_energy_mev_per_atom=0 formation_enthalpy_0k_ev_per_atom=-0.1236 spacegroup="No. 44" pbc="T T T"
Cs 3.280 2.662 4.415
K 1.850 -0.976 3.104
Cd -0.763 1.613 3.549
Cd 0.230 0.187 0.310
Au 0.471 0.137 5.824

10
Lattice="5.336 0.353 -0.154 0.204 6.270 3.325 -0.227 0.516 6.748" Properties=species:S:1:pos:R:3 comment="AlBiAu3 | the Alexandria database | PBE-GGA | relaxed" relative_energy_mev_per_atom=0 formation_enthalpy_0k_ev_per_atom=-0.1313 spacegroup="No. 2" pbc="T T T"
Al 0.294 4.770 3.956
Al 3.508 6.799 8.442
Bi 1.526 1.306 2.521
Bi 2.074 3.995 6.552
Au 4.467 2.825 4.457
Au 1.007 6.377 8.443
Au 2.795 5.193 3.956
Au 4.570 5.964 6.121
Au 4.223 1.862 7.161
Au 4.714 3.791 1.755

12
Lattice="4.263 0.000 0.000 0.000 4.562 -0.042 0.000 -2.397 13.361" Properties=species:S:1:pos:R:3 comment="Ce3Ge7Au2 | the Alexandria database | PBE-GGA | relaxed" formation_enthalpy_0k_ev_per_atom=-0.4842 spacegroup="No. 10" pbc="T T T"
Ce 2.131 2.281 -0.021
Ce 0.000 -0.078 4.937
Ce 0.000 2.243 8.382
Ge 2.131 2.227 6.108
Ge 2.131 -0.062 7.211
Ge 0.000 2.791 2.220
Ge 0.000 0.000 0.000
Ge 0.000 -0.626 11.099
Ge 2.131 2.255 11.143
Ge 2.131 -0.090 2.176
Au 2.131 2.012 3.599
Au 2.131 0.153 9.720

6
Lattice="0.000 3.669 3.669 3.669 0.000 3.669 3.669 3.669 0.000" Properties=species:S:1:pos:R:3 comment="CuOsW4 | the Alexandria database | PBE-GGA | relaxed" formation_enthalpy_0k_ev_per_atom=0.6604 spacegroup="No. 216" pbc="T T T"
Cu 5.503 5.503 5.503
Os 0.000 0.000 0.000
W 2.761 4.577 4.577
W 4.577 4.577 2.761
W 4.577 2.761 4.577
W 2.761 2.761 2.761

11
Lattice="-2.060 3.745 2.238 -2.891 0.682 -3.802 -6.383 -10.251 6.074" Properties=species:S:1:pos:R:3 comment="La2Pm4Sb3N2 | the Alexandria database | PBE-GGA | relaxed" total_energy_ev_per_cell=-71.190 spacegroup="No. 139" pbc="T T T"
La -5.466 -4.959 3.266
La -5.868 -0.864 1.245
Pm -8.858 -6.384 2.528
Pm -8.443 -4.853 5.548
Pm -2.891 -0.970 -1.037
Pm -2.476 0.561 1.983
Sb 0.000 0.000 0.000
Sb -3.110 -2.821 1.858
Sb -8.224 -3.002 2.653
N -7.037 -6.385 4.205
N -4.296 0.561 0.306

4
Lattice="-3.220 0.736 3.718 -3.284 -2.899 2.356 2.262 -2.160 5.661" Properties=species:S:1:pos:R:3 comment="AlCd2Te | the Alexandria database | PBE-GGA | relaxed" relative_energy_mev_per_atom=0 spacegroup="No. 8" pbc="T T T"
Te -2.541 -2.308 6.277
Al -1.001 -0.839 2.286
Cd -6.182 -2.172 6.084
Cd -3.144 -3.328 9.028

4
Lattice="-2.603 1.299 -0.367 -1.271 -2.092 1.614 1.017 3.572 5.432" Properties=species:S:1:pos:R:3 comment="GaNi2Hg | the Alexandria database | PBE-GGA | relaxed" relative_energy_mev_per_atom=0 formation_enthalpy_0k_ev_per_atom=-0.1083 spacegroup="No. 123" pbc="T T T"
Ni 0.805 2.828 4.301
Ni 0.212 0.744 1.131
Hg -1.429 1.390 3.340
Ga -1.937 -0.397 0.624

8
Lattice="-2.221 4.285 5.167 -0.779 -1.995 6.157 3.952 4.176 3.073" Properties=species:S:1:pos:R:3 comment="BaLi2AlSe4 | the Alexandria database | PBE-GGA | relaxed" total_energy_ev_per_cell=-33.016 spacegroup="No. 121" pbc="T T T"
Ba 0.000 0.000 0.000
Li -0.705 1.693 7.968
Li 1.657 4.773 6.428
Al 1.587 1.090 4.615
Se 1.642 5.115 9.062
Se 0.849 3.359 4.331
Se 0.189 -0.345 3.290
Se -0.775 4.803 12.110

42
Lattice="11.135 0.011 0.006 8.807 6.814 0.006 0.764 0.262 8.691" Properties=species:S:1:pos:R:3 comment="Ba5B4O10F2 | the Alexandria database | PBE-GGA | relaxed" total_energy_ev_per_cell=-301.402 spacegroup="No. 15" pbc="T T T"
Ba 10.413 3.992 6.524
Ba 11.076 6.690 3.398
Ba 10.293 3.095 2.179
Ba 6.327 3.030 6.986
Ba 14.380 4.057 1.717
Ba 7.472 5.457 0.959
Ba 14.232 5.736 6.062
Ba 13.235 1.631 7.744
Ba 9.631 0.397 5.305
Ba 6.475 1.352 2.640
B 16.820 4.760 3.634
B 12.652 2.938 4.401
B 4.115 0.412 0.724
B 3.887 2.327 5.069
B 9.290 1.787 8.647
B 8.055 4.150 4.302
B 16.591 6.676 7.979
B 11.416 5.301 0.056
O 12.979 6.734 8.411
O 14.001 2.501 4.065
O 8.850 5.046 3.631
O 10.239 5.521 0.726
O 7.452 0.549 6.835
O 8.464 2.923 4.740
O 10.467 1.566 7.977
O 4.900 1.454 4.838
O 5.843 4.002 2.489
O 12.242 4.164 3.963
O 8.098 2.746 0.394
O 4.382 1.723 0.492
O 16.325 5.365 8.210
O 15.806 5.633 3.865
O 11.857 2.042 5.072
O 14.863 3.085 6.214
O 7.727 0.353 0.292
O 12.608 4.342 8.309
O 6.705 4.587 4.638
O 13.254 6.539 1.868
F 11.361 6.351 6.031
F 12.487 1.812 1.686
F 9.346 0.737 2.672
F 8.219 5.276 7.017

14
Lattice="8.259 -4.281 1.111 8.259 4.281 1.111 5.135 0.000 7.836" Properties=species:S:1:pos:R:3 comment="GaS3I3 | the Alexandria database | PBE-GGA | relaxed" total_energy_ev_per_cell=-39.505 spacegroup="No. 148" pbc="T T T"
Ga 3.319 0.000 1.542
Ga 18.335 0.000 8.517
S 5.936 2.749 1.091
S 3.978 -0.065 5.306
S 5.984 -2.684 0.988
S 15.670 2.684 9.070
S 17.676 0.065 4.753
S 15.718 -2.749 8.968
I 10.510 0.307 1.864
I 8.893 -2.524 5.346
I 8.669 2.216 5.829
I 12.985 -2.216 4.229
I 12.761 2.524 4.712
I 11.144 -0.307 8.194

Calculated spin magnetization in order - 0.15 0.00 5.93 0.00 0.00 0.00 0.01 0.00 0.00 0.00 0.00 1.91 0.00 0.00 2.03 0.00 0.00 0.00 0.00 0.00 0.00 0.00 μB/f.u.